# Cs4La3TmO8 (GGA-PBE, relaxed)
data_Cs4La3TmO8
_space_group_name_H-M_alt 'R -3 m'
_space_group_IT_number 166
_space_group_name_Hall '-R 3 2"'
_cell_length_a 7.4270
_cell_length_b 7.4270
_cell_length_c 20.7889
_cell_angle_alpha 90.00
_cell_angle_beta 90.00
_cell_angle_gamma 120.00
loop_
_atom_site_label
_atom_site_type_symbol
_atom_site_fract_x
_atom_site_fract_y
_atom_site_fract_z
Cs1 Cs 0.0000 0.0000 0.0000
Cs2 Cs 0.0000 0.5000 0.0000
La1 La 0.0000 0.5000 0.5000
Tm1 Tm 0.0000 0.0000 0.5000
O1 O 0.0000 0.0000 0.2230
O2 O 0.0159 0.5079 0.2222
# - Fermi-level density of states: 0.00 states/eV/cell
# - Magnetization: 0.0 μB per cell
# - ΔE_f (raw): -249.2 kJ/mol of atoms